No. 1
An optimized crystal structure of TaCdAs2Br. Source: the Alexandria database, functional PBEsol. Values from VASP.

Computed properties:
magnetic moment = 2.019 μB per cell
total energy = -3.5760 eV/atom
space group = P4/mmm

The structure in Quantum ESPRESSO input format:
```
&SYSTEM
  ibrav = 0, nat = 5, ntyp = 4
/
ATOMIC_SPECIES
As 74.92 As.upf
Br 79.90 Br.upf
Cd 112.41 Cd.upf
Ta 180.95 Ta.upf
ATOMIC_POSITIONS crystal
As 0.000 0.500 0.000
As 0.500 0.000 0.000
Br 0.000 0.000 0.000
Cd 0.000 0.000 0.500
Ta 0.500 0.500 0.500
CELL_PARAMETERS angstrom
4.961 0.000 0.000
0.000 4.961 0.000
0.000 0.000 4.988
```

***

No. 2
An optimized crystal structure of CrAs2BrCl. Source: the Alexandria database, functional PBEsol. Values from VASP.

Computed properties:
magnetic moment = 3.242 μB per cell
total energy = -3.7875 eV/atom
space group = P4/mmm

The structure in Quantum ESPRESSO input format:
```
&SYSTEM
  ibrav = 0, nat = 5, ntyp = 4
/
ATOMIC_SPECIES
Cl 35.45 Cl.upf
Cr 52.00 Cr.upf
Br 79.90 Br.upf
As 74.92 As.upf
ATOMIC_POSITIONS crystal
Cl 0.000 0.000 0.000
Cr 0.500 0.500 0.500
Br 0.000 0.000 0.500
As 0.000 0.500 0.000
As 0.500 0.000 0.000
CELL_PARAMETERS angstrom
-2.375 3.347 -2.186
0.920 -2.017 -4.088
-5.059 -3.277 0.478
```

***

No. 3
An optimized crystal structure of Cs2AsBrCl6. Source: the Alexandria database, functional PBEsol. Values from VASP.

Computed properties:
magnetic moment = 0.000 μB per cell
total energy = -3.1849 eV/atom
space group = Fm-3m

The structure in Quantum ESPRESSO input format:
```
&SYSTEM
  ibrav = 0, nat = 10, ntyp = 4
/
ATOMIC_SPECIES
Cs 132.91 Cs.upf
Cl 35.45 Cl.upf
Br 79.90 Br.upf
As 74.92 As.upf
ATOMIC_POSITIONS crystal
Cs 0.250 0.250 0.250
Cl 0.781 0.219 0.781
Cl 0.219 0.219 0.781
Br 0.500 0.500 0.500
Cl 0.781 0.781 0.219
Cl 0.219 0.781 0.781
Cl 0.781 0.219 0.219
Cl 0.219 0.781 0.219
As 0.000 0.000 0.000
Cs 0.750 0.750 0.750
CELL_PARAMETERS angstrom
7.553 0.000 0.000
3.777 6.541 0.000
3.777 2.180 6.167
```

***

No. 4
An optimized crystal structure of FeAsBr2Cl. Source: the Alexandria database, functional PBEsol. Values from VASP.

Computed properties:
magnetic moment = 2.480 μB per cell
total energy = -3.7886 eV/atom
space group = P4/mmm

The structure in Quantum ESPRESSO input format:
```
&SYSTEM
  ibrav = 0, nat = 5, ntyp = 4
/
ATOMIC_SPECIES
Br 79.90 Br.upf
Cl 35.45 Cl.upf
As 74.92 As.upf
Fe 55.84 Fe.upf
ATOMIC_POSITIONS crystal
Br 0.000 0.000 0.500
Cl 0.500 0.500 0.500
As 0.500 0.000 0.000
Br 0.000 0.500 0.000
Fe 0.000 0.000 0.000
CELL_PARAMETERS angstrom
-2.088 -3.858 -1.910
3.138 -2.777 2.181
-2.867 -0.301 3.742
```

***

No. 5
An optimized crystal structure of KAsBr2Cl. Source: the Alexandria database, functional PBEsol. Values from VASP.

Computed properties:
magnetic moment = 3.023 μB per cell
total energy = -1.8922 eV/atom
space group = P4/mmm

The structure in Quantum ESPRESSO input format:
```
&SYSTEM
  ibrav = 0, nat = 5, ntyp = 4
/
ATOMIC_SPECIES
As 74.92 As.upf
K 39.10 K.upf
Br 79.90 Br.upf
Cl 35.45 Cl.upf
ATOMIC_POSITIONS crystal
As 0.000 0.000 0.500
K 0.000 0.000 0.000
Br 0.000 0.500 0.000
Br 0.500 0.000 0.000
Cl 0.500 0.500 0.500
CELL_PARAMETERS angstrom
-4.054 3.259 2.500
-3.736 -1.465 -4.148
-3.198 -8.488 5.877
```

***

No. 6
An optimized crystal structure of KAs2BrCl. Source: the Alexandria database, functional PBEsol. Values from VASP.

Computed properties:
magnetic moment = 4.988 μB per cell
total energy = -2.0192 eV/atom
space group = P4/mmm

The structure in Quantum ESPRESSO input format:
```
&SYSTEM
  ibrav = 0, nat = 5, ntyp = 4
/
ATOMIC_SPECIES
Cl 35.45 Cl.upf
Br 79.90 Br.upf
K 39.10 K.upf
As 74.92 As.upf
ATOMIC_POSITIONS crystal
Cl 0.500 0.500 0.500
Br 0.500 0.000 0.000
K 0.000 0.000 0.000
As 0.000 0.500 0.000
As 0.000 0.000 0.500
CELL_PARAMETERS angstrom
-2.218 3.436 -3.956
1.371 -4.459 -4.641
-5.903 -2.762 0.910
```

***

No. 7
An optimized crystal structure of LiAs2BrCl. Source: the Alexandria database, functional PBEsol. Values from VASP.

Computed properties:
magnetic moment = 0.001 μB per cell
total energy = -2.7992 eV/atom
space group = P4/mmm

The structure in Quantum ESPRESSO input format:
```
&SYSTEM
  ibrav = 0, nat = 5, ntyp = 4
/
ATOMIC_SPECIES
As 74.92 As.upf
Cl 35.45 Cl.upf
Li 6.94 Li.upf
Br 79.90 Br.upf
ATOMIC_POSITIONS crystal
As 0.000 0.500 0.000
Cl 0.000 0.000 0.000
Li 0.500 0.500 0.500
As 0.500 0.000 0.000
Br 0.000 0.000 0.500
CELL_PARAMETERS angstrom
-0.279 1.301 4.470
-4.500 1.072 -0.592
-1.773 -6.466 1.771
```

***

No. 8
An optimized crystal structure of MoAs2BrCl. Source: the Alexandria database, functional PBEsol. Values from VASP.

Computed properties:
magnetic moment = 2.812 μB per cell
total energy = -3.7523 eV/atom
space group = P4/mmm

The structure in Quantum ESPRESSO input format:
```
&SYSTEM
  ibrav = 0, nat = 5, ntyp = 4
/
ATOMIC_SPECIES
Br 79.90 Br.upf
Mo 95.94 Mo.upf
Cl 35.45 Cl.upf
As 74.92 As.upf
ATOMIC_POSITIONS crystal
Br 0.000 0.000 0.500
Mo 0.500 0.500 0.500
Cl 0.000 0.000 0.000
As 0.500 0.000 0.000
As 0.000 0.500 0.000
CELL_PARAMETERS angstrom
4.616 0.000 0.000
0.000 4.616 0.000
0.000 0.000 5.730
```